A geometry-optimized CsCo2SnF8 structure, computed with GGA+U.

Values from the calculation:
The density of states at the Fermi level comes out at 0.22 states/eV/atom. The total energy is -0.3477 Ry/atom.

a = 5.4786 Å, b = 5.5308 Å, c = 7.9144 Å
α = 73.33°, β = 73.53°, γ = 72.76°
Closest atoms and distances in Å follow each position.
Space group P-1 (No. 2)
Symmetry-distinct sites (fractional):
Cs  0.0000  0.0000  0.0000 [1 per cell]  6 F 2.92-3.21
Co  0.4505  0.4499  0.2192 [2 per cell]  5 F 1.98-2.11
Sn  0.0000  0.0000  0.5000 [1 per cell]  6 F 2.13-2.20
F  0.2057  0.7247  0.7053 [2 per cell]  1 Co 2.02, 1 Sn 2.20
F  0.2596  0.2487  0.4405 [2 per cell]  1 Co 1.98, 1 Sn 2.13
F  0.2701  0.7859  0.2990 [2 per cell]  1 Co 2.02, 1 Sn 2.20
F  0.3589  0.3470  0.0269 [2 per cell]  2 Co 2.00-2.11